Record 1
A relaxed structure of Be4OsPt, computed with PBE.

a = 4.3986 Å, b = 4.3986 Å, c = 4.3986 Å
α = 60.00°, β = 60.00°, γ = 60.00°
With the nearest neighbours (Å) after each atom.
Atoms (fractional coordinates):
1 Be 0.1241 0.1241 0.1241  6 Be 2.18-2.22
2 Be 0.1241 0.1241 0.6277  6 Be 2.18-2.22
3 Be 0.1241 0.6277 0.1241  6 Be 2.18-2.22
4 Be 0.6277 0.1241 0.1241  6 Be 2.18-2.22
5 Os 0.7500 0.7500 0.7500  12 Be 2.58, 4 Pt 2.69
6 Pt 0.5000 0.5000 0.5000  12 Be 2.58, 4 Os 2.69

Calculated values
Symmetry = F-43m (216)
Energy = -5.655 eV/atom


Record 2
A relaxed structure of Mn8Os3W, computed with PBE.

a = 4.6732 Å, b = 4.6732 Å, c = 7.6244 Å
α = 90.00°, β = 90.00°, γ = 120.00°
With the nearest neighbours (Å) after each atom.
Atoms (fractional coordinates):
1 Mn 0.0000 0.0000 0.0000  6 Mn 2.38-2.39
2 Mn 0.0000 0.0000 0.4997  6 Mn 2.35-2.37
3 Mn 0.1745 0.3490 0.2532  6 Mn 2.23-2.45
4 Mn 0.1745 0.8255 0.2532  6 Mn 2.23-2.45
5 Mn 0.3486 0.1743 0.7494  6 Mn 2.23-2.44
6 Mn 0.6510 0.8255 0.2532  6 Mn 2.23-2.45
7 Mn 0.8257 0.1743 0.7494  6 Mn 2.23-2.44
8 Mn 0.8257 0.6514 0.7494  6 Mn 2.23-2.44
9 Os 0.3333 0.6667 0.5695  12 Mn 2.71-2.75, 4 Os 2.75-2.90
10 Os 0.3333 0.6667 0.9296  12 Mn 2.71-2.78, 1 Os 2.75, 3 W 2.89
11 Os 0.6667 0.3333 0.4302  12 Mn 2.70-2.75, 1 W 2.78, 3 Os 2.90
12 W 0.6667 0.3333 0.0654  12 Mn 2.73-2.74, 4 Os 2.78-2.89

Calculated values
Symmetry = P3m1 (156)
Energy = -10.050 eV/atom


Record 3
A relaxed structure of ScPtW2, computed with PBE.

a = 5.3493 Å, b = 5.3493 Å, c = 5.3493 Å
α = 141.93°, β = 133.87°, γ = 61.30°
With the nearest neighbours (Å) after each atom.
Atoms (fractional coordinates):
1 Sc 0.0000 0.0000 0.0000  4 Pt 2.73, 4 W 2.88
2 Pt 0.5000 0.5000 0.0000  4 Sc 2.73, 4 W 2.90
3 W 0.2486 0.7486 0.5000  4 W 2.73, 2 Sc 2.88, 2 Pt 2.90
4 W 0.7514 0.2514 0.5000  4 W 2.73, 2 Sc 2.88, 2 Pt 2.90

Calculated values
Symmetry = Immm (71)
Energy = -9.725 eV/atom


Record 4
A relaxed structure of Tm3Ag3PtO8, computed with PBE.

a = 6.6666 Å, b = 6.6666 Å, c = 6.9574 Å
α = 118.73°, β = 118.73°, γ = 60.01°
With the nearest neighbours (Å) after each atom.
Atoms (fractional coordinates):
1 Tm 0.0000 0.0000 0.0000  6 O 2.19-2.28
2 Tm 0.0000 0.5000 0.0000  6 O 2.19-2.28
3 Tm 0.5000 0.0000 0.0000  6 O 2.19-2.28
4 Ag 0.0000 0.5000 0.5000  6 O 2.58-2.68
5 Ag 0.5000 0.0000 0.5000  6 O 2.58-2.68
6 Ag 0.5000 0.5000 0.5000  6 O 2.59-2.67
7 Pt 0.5000 0.5000 0.0000  6 O 2.09
8 O 0.2266 0.2266 0.1791  3 Tm 2.19
9 O 0.2556 0.7171 0.1891  1 Pt 2.09, 2 Tm 2.28
10 O 0.2829 0.2829 0.8110  1 Pt 2.09, 2 Tm 2.28
11 O 0.2829 0.7444 0.8109  1 Pt 2.09, 2 Tm 2.28
12 O 0.7171 0.2556 0.1891  1 Pt 2.09, 2 Tm 2.28
13 O 0.7171 0.7171 0.1890  1 Pt 2.09, 2 Tm 2.28
14 O 0.7444 0.2829 0.8109  1 Pt 2.09, 2 Tm 2.28
15 O 0.7734 0.7734 0.8209  3 Tm 2.19

Calculated values
Symmetry = C2/m (12)
ΔE_f (raw) = -1.8333 eV/atom


Record 5
A relaxed structure of BaPm2Pa, computed with PBE.

a = 12.8562 Å, b = 12.8562 Å, c = 12.8562 Å
α = 15.96°, β = 15.96°, γ = 15.96°
With the nearest neighbours (Å) after each atom.
Atoms (fractional coordinates):
1 Ba 0.0000 0.0000 0.0000  6 Ba 3.57, 2 Pm 3.65
2 Pm 0.0959 0.0959 0.0959  3 Pa 3.39, 6 Pm 3.57, 1 Ba 3.65
3 Pm 0.9041 0.9041 0.9041  3 Pa 3.39, 6 Pm 3.57, 1 Ba 3.65
4 Pa 0.5000 0.5000 0.5000  6 Pm 3.39, 6 Pa 3.57

Calculated values
Symmetry = R-3m (166)
Energy = -4.926 eV/atom


Record 6
A relaxed structure of CdNi3, computed with PBE.

a = 5.2792 Å, b = 5.2792 Å, c = 4.2903 Å
α = 90.00°, β = 90.00°, γ = 118.45°
With the nearest neighbours (Å) after each atom.
Atoms (fractional coordinates):
1 Cd 0.0950 0.9050 0.7500  10 Ni 2.55-2.73, 2 Cd 2.75
2 Cd 0.9050 0.0950 0.2500  10 Ni 2.55-2.73, 2 Cd 2.75
3 Ni 0.1093 0.4297 0.7500  7 Ni 2.49-2.72, 4 Cd 2.55-2.73
4 Ni 0.4137 0.5863 0.2500  10 Ni 2.56-2.72, 2 Cd 2.70
5 Ni 0.4297 0.1093 0.2500  7 Ni 2.49-2.72, 4 Cd 2.55-2.73
6 Ni 0.5703 0.8907 0.7500  7 Ni 2.49-2.72, 4 Cd 2.55-2.73
7 Ni 0.5863 0.4137 0.7500  10 Ni 2.56-2.72, 2 Cd 2.70
8 Ni 0.8907 0.5703 0.2500  7 Ni 2.49-2.72, 4 Cd 2.55-2.73

Calculated values
Symmetry = Cmcm (63)
Energy = -4.401 eV/atom